[1]
DFT (PBE-GGA) results for an optimized crystal structure of ZrIrW2.

E_form, eV per atom: 0.166
Energy above the most stable polymorph in this dataset, eV per atom: 0.2942
Space group: Fm-3m, No. 225

Cell lengths 4.556, 4.556, 4.556 Å; angles 60.00, 60.00, 60.00 degrees
Element x y z (fractional)
1 Ir 0.500 0.500 0.500
2 Zr 0.000 0.000 0.000
3 W 0.250 0.250 0.250
4 W 0.750 0.750 0.750

***

[2]
DFT (PBE-GGA) results for an optimized crystal structure of BaSr4Pd4.

E_form, eV per atom: -0.475
Space group: P4_2/n, No. 86

Cell lengths 6.215, 9.800, 9.800 Å; angles 90.00, 90.00, 90.00 degrees
Element x y z (fractional)
1 Ba 0.000 0.000 0.000
2 Ba 0.500 0.500 0.500
3 Sr 0.402 0.323 0.908
4 Sr 0.902 0.592 0.823
5 Sr 0.402 0.677 0.092
6 Sr 0.098 0.177 0.592
7 Sr 0.598 0.908 0.677
8 Sr 0.098 0.823 0.408
9 Sr 0.902 0.408 0.177
10 Sr 0.598 0.092 0.323
11 Pd 0.611 0.782 0.360
12 Pd 0.611 0.218 0.640
13 Pd 0.111 0.860 0.718
14 Pd 0.889 0.282 0.860
15 Pd 0.889 0.718 0.140
16 Pd 0.389 0.360 0.218
17 Pd 0.389 0.640 0.782
18 Pd 0.111 0.140 0.282

***

[3]
DFT (PBE-GGA) results for an optimized crystal structure of ZrNiB.

E_form, eV per atom: -0.549
Space group: C2/m, No. 12

Cell lengths 6.123, 3.457, 9.023 Å; angles 90.00, 128.38, 90.00 degrees
Element x y z (fractional)
1 Ni 0.598 0.000 0.698
2 Ni 0.402 0.000 0.302
3 Ni 0.598 0.500 0.198
4 Ni 0.402 0.500 0.802
5 B 0.157 0.000 0.622
6 B 0.843 0.000 0.378
7 B 0.157 0.500 0.122
8 B 0.843 0.500 0.878
9 Zr 0.806 0.000 0.067
10 Zr 0.194 0.000 0.933
11 Zr 0.806 0.500 0.567
12 Zr 0.194 0.500 0.433

***

[4]
DFT (PBE-GGA) results for an optimized crystal structure of Sc2BiPb.

E_form, eV per atom: -0.366
Energy above the most stable polymorph in this dataset, eV per atom: 0.0785
Space group: P4/mmm, No. 123

Cell lengths 3.895, 3.895, 6.701 Å; angles 90.00, 90.00, 90.00 degrees
Each line ends with the local moment (μB).
Element x y z (fractional)
1 Pb 0.500 0.500 0.000  0.00
2 Sc 0.000 0.000 0.746  0.19
3 Sc 0.000 0.000 0.254  0.19
4 Bi 0.500 0.500 0.500  -0.01

***

[5]
DFT (PBE-GGA) results for an optimized crystal structure of Tl2TeC.

Energy above the most stable polymorph in this dataset, eV per atom: 0.6429
Space group: Fm-3m, No. 225

Cell lengths 5.398, 5.398, 5.398 Å; angles 60.00, 60.00, 60.00 degrees
Each line ends with the local moment (μB).
Element x y z (fractional)
1 Tl 0.250 0.250 0.250  0.01
2 Tl 0.750 0.750 0.750  0.01
3 Te 0.500 0.500 0.500  0.01
4 C 0.000 0.000 0.000  0.99

***

[6]
DFT (PBE-GGA) results for an optimized crystal structure of Li7ZnPd4.

E_form, eV per atom: -0.213
Space group: C2/m, No. 12

Cell lengths 4.514, 7.425, 6.646 Å; angles 58.87, 70.15, 72.30 degrees
Element x y z (fractional)
1 Li 0.801 0.856 0.543
2 Li 0.199 0.144 0.457
3 Li 0.080 0.564 0.275
4 Li 0.920 0.436 0.725
5 Li 0.218 0.758 0.807
6 Li 0.500 0.000 0.000
7 Li 0.782 0.242 0.193
8 Zn 0.000 0.000 0.000
9 Pd 0.572 0.288 0.568
10 Pd 0.428 0.712 0.432
11 Pd 0.669 0.626 0.036
12 Pd 0.331 0.374 0.964

***

[7]
DFT (PBE-GGA) results for an optimized crystal structure of Mg2Ag.

E_form, eV per atom: -0.130
Space group: C2/m, No. 12

Cell lengths 3.402, 5.794, 6.721 Å; angles 108.14, 90.00, 107.07 degrees
Element x y z (fractional)
1 Ag 0.032 0.065 0.072
2 Ag 0.357 0.713 0.205
3 Mg 0.371 0.743 0.757
4 Mg 0.707 0.414 0.379
5 Mg 0.682 0.364 0.899
6 Mg 0.018 0.035 0.521

***

[8]
DFT (PBE-GGA) results for an optimized crystal structure of InH6Ir.

Calculated total energy, eV/cell: -31.33
Space group: P-1, No. 2

Cell lengths 4.869, 4.869, 5.000 Å; angles 76.53, 76.75, 117.40 degrees
Element x y z (fractional)
1 In 0.500 0.500 0.000
2 H 0.698 0.697 0.326
3 H 0.787 0.089 0.815
4 H 0.089 0.787 0.815
5 H 0.213 0.911 0.185
6 H 0.302 0.303 0.674
7 H 0.911 0.213 0.185
8 Ir 0.000 0.000 0.000

***

[9]
DFT (PBE-GGA) results for an optimized crystal structure of Pr3OsN4.

Calculated total energy, eV/cell: -128.19
Space group: Pmn2_1, No. 31

Cell lengths 5.424, 6.855, 7.732 Å; angles 90.00, 90.00, 90.00 degrees
Element x y z (fractional)
1 Pr 0.542 0.867 0.000
2 Pr 0.038 0.670 0.251
3 Pr 0.538 0.330 0.249
4 Pr 0.042 0.133 0.500
5 Pr 0.538 0.330 0.751
6 Pr 0.038 0.670 0.749
7 Os 0.065 0.176 0.000
8 Os 0.565 0.824 0.500
9 N 0.057 0.893 0.000
10 N 0.671 0.187 0.000
11 N 0.052 0.310 0.225
12 N 0.552 0.690 0.275
13 N 0.171 0.813 0.500
14 N 0.557 0.107 0.500
15 N 0.552 0.690 0.725
16 N 0.052 0.310 0.775

***

- Number 8 is which compound?
  InH6Ir